# 1
## TlFe2Br (GGA-PBEsol)

Data for a relaxed structure of TlFe2Br.

Size of the total moment = 5.4 Bohr magnetons per cell
ΔE to the lowest computed polymorph = 371 meV per atom
Energy relative to the elements, uncorrected = 696 meV/atom
Mass density = 9.95 g/cm3
E = -19.6 eV per formula unit
Symmetry = P4/mmm, No. 123

Cell lengths 3.113, 3.113, 6.822 Å; angles 90.00, 90.00, 90.00 degrees
Fractional coordinates of all 4 atoms:
Tl (0.000, 0.000, 0.000)
Fe (0.500, 0.500, 0.277)
Fe (0.500, 0.500, 0.723)
Br (0.000, 0.000, 0.500)



# 2
## Tl2FeBr (GGA-PBEsol)

Data for a relaxed structure of Tl2FeBr.

Size of the total moment = 2.7 Bohr magnetons per cell
ΔE to the lowest computed polymorph = 113 meV per atom
Energy relative to the elements, uncorrected = 320 meV/atom
Mass density = 10.06 g/cm3
E = -14.8 eV per formula unit
Symmetry = P2/m, No. 10

Cell lengths 3.456, 3.459, 7.520 Å; angles 90.00, 90.80, 90.00 degrees
Fractional coordinates of all 4 atoms:
Tl (0.005, 0.000, 0.206)
Tl (0.995, 0.000, 0.794)
Fe (0.500, 0.500, 0.000)
Br (0.500, 0.500, 0.500)



# 3
## TlFe2Br (GGA-PBEsol)

Data for a relaxed structure of TlFe2Br.

Size of the total moment = 5.7 Bohr magnetons per cell
ΔE to the lowest computed polymorph = 295 meV per atom
Energy relative to the elements, uncorrected = 620 meV/atom
Mass density = 9.51 g/cm3
E = -19.9 eV per formula unit
Symmetry = R-3m, No. 166

Cell lengths 8.231, 8.231, 8.231 Å; angles 22.09, 22.09, 22.09 degrees
Fractional coordinates of all 4 atoms:
Tl (0.000, 0.000, 0.000)
Fe (0.245, 0.245, 0.245)
Fe (0.755, 0.755, 0.755)
Br (0.500, 0.500, 0.500)



# 4
## TlFeBr3 (GGA-PBEsol)

Data for a relaxed structure of TlFeBr3.

Size of the total moment = 4.0 Bohr magnetons per cell
ΔE to the lowest computed polymorph = 0 meV per atom
Energy relative to the elements, uncorrected = -443 meV/atom
Mass density = 6.27 g/cm3
E = -19.4 eV per formula unit
Symmetry = Pm-3m, No. 221

Cell lengths 5.096, 5.096, 5.096 Å; angles 90.00, 90.00, 90.00 degrees
Fractional coordinates of all 5 atoms:
Tl (0.000, 0.000, 0.000)
Fe (0.500, 0.500, 0.500)
Br (0.000, 0.500, 0.500)
Br (0.500, 0.000, 0.500)
Br (0.500, 0.500, 0.000)



# 5
## FeWBr3 (GGA-PBEsol)

Data for a relaxed structure of FeWBr3.

Size of the total moment = 8.2 Bohr magnetons per cell
Energy relative to the elements, uncorrected = 1210 meV/atom
Mass density = 6.70 g/cm3
E = -22.3 eV per formula unit
Symmetry = Pm-3m, No. 221

Cell lengths 4.916, 4.916, 4.916 Å; angles 90.00, 90.00, 90.00 degrees
Fractional coordinates of all 5 atoms:
Fe (0.000, 0.000, 0.000)
W (0.500, 0.500, 0.500)
Br (0.000, 0.000, 0.500)
Br (0.000, 0.500, 0.000)
Br (0.500, 0.000, 0.000)



# 6
## FeWBr2 (GGA-PBEsol)

Data for a relaxed structure of FeWBr2.

Size of the total moment = 2.6 Bohr magnetons per cell
ΔE to the lowest computed polymorph = 0 meV per atom
Energy relative to the elements, uncorrected = 1160 meV/atom
Mass density = 10.43 g/cm3
E = -21.9 eV per formula unit
Symmetry = P4/mmm, No. 123

Cell lengths 4.511, 4.511, 3.126 Å; angles 90.00, 90.00, 90.00 degrees
Fractional coordinates of all 4 atoms:
Fe (0.000, 0.000, 0.000)
W (0.500, 0.500, 0.000)
Br (0.000, 0.500, 0.500)
Br (0.500, 0.000, 0.500)



# 7
## FeWBr2 (GGA-PBEsol)

Data for a relaxed structure of FeWBr2.

Size of the total moment = 0.0 Bohr magnetons per cell
ΔE to the lowest computed polymorph = 240 meV per atom
Energy relative to the elements, uncorrected = 1400 meV/atom
Mass density = 9.34 g/cm3
E = -20.9 eV per formula unit
Symmetry = F-43m, No. 216

Cell lengths 4.648, 4.648, 4.648 Å; angles 60.00, 60.00, 60.00 degrees
Fractional coordinates of all 4 atoms:
Fe (0.000, 0.000, 0.000)
W (0.750, 0.750, 0.750)
Br (0.250, 0.250, 0.250)
Br (0.500, 0.500, 0.500)



# 8
## Y2FeBr (GGA-PBEsol)

Data for a relaxed structure of Y2FeBr.

Size of the total moment = 0.9 Bohr magnetons per cell
ΔE to the lowest computed polymorph = 220 meV per atom
Energy relative to the elements, uncorrected = -63 meV/atom
Mass density = 6.06 g/cm3
E = -24.7 eV per formula unit
Symmetry = Fm-3m, No. 225

Cell lengths 4.953, 4.953, 4.953 Å; angles 60.00, 60.00, 60.00 degrees
Fractional coordinates of all 4 atoms:
Y (0.250, 0.250, 0.250)
Y (0.750, 0.750, 0.750)
Fe (0.000, 0.000, 0.000)
Br (0.500, 0.500, 0.500)



# 9
## Y2FeBr (GGA-PBEsol)

Data for a relaxed structure of Y2FeBr.

Size of the total moment = 1.7 Bohr magnetons per cell
ΔE to the lowest computed polymorph = 0 meV per atom
Energy relative to the elements, uncorrected = -283 meV/atom
Mass density = 5.81 g/cm3
E = -25.6 eV per formula unit
Symmetry = P4/mmm, No. 123

Cell lengths 3.969, 3.969, 5.691 Å; angles 90.00, 90.00, 90.00 degrees
Fractional coordinates of all 4 atoms:
Y (0.000, 0.000, 0.000)
Y (0.500, 0.500, 0.500)
Fe (0.000, 0.000, 0.500)
Br (0.500, 0.500, 0.000)



# 10
## ZrFeBr (GGA-PBEsol)

Data for a relaxed structure of ZrFeBr.

Size of the total moment = 1.1 Bohr magnetons per cell
Energy relative to the elements, uncorrected = 37 meV/atom
Mass density = 7.16 g/cm3
E = -19.8 eV per formula unit
Symmetry = I4mm, No. 107

Cell lengths 5.564, 5.564, 5.564 Å; angles 146.35, 146.35, 48.33 degrees
Fractional coordinates of all 3 atoms:
Zr (0.000, 0.000, 0.000)
Fe (0.372, 0.372, 0.000)
Br (0.702, 0.702, 0.000)



# 11
## Zr2FeBr (GGA-PBEsol)

Data for a relaxed structure of Zr2FeBr.

Size of the total moment = 0.0 Bohr magnetons per cell
Energy relative to the elements, uncorrected = -393 meV/atom
Mass density = 6.60 g/cm3
E = -30.6 eV per formula unit
Symmetry = C2/m, No. 12

Cell lengths 3.614, 3.614, 7.333 Å; angles 104.09, 104.09, 60.66 degrees
Fractional coordinates of all 4 atoms:
Zr (0.229, 0.229, 0.183)
Zr (0.771, 0.771, 0.817)
Fe (0.500, 0.500, 0.000)
Br (0.000, 0.000, 0.500)



# 12
## GaBr2 (GGA-PBEsol)

Data for a relaxed structure of GaBr2.

Size of the total moment = 0.0 Bohr magnetons per cell
ΔE to the lowest computed polymorph = 0 meV per atom
Energy relative to the elements, uncorrected = -701 meV/atom
Mass density = 4.23 g/cm3
E = -9.2 eV per formula unit
Symmetry = Pnna, No. 52

Cell lengths 7.423, 9.778, 9.928 Å; angles 90.00, 90.00, 90.00 degrees
Fractional coordinates of all 24 atoms:
Ga (0.143, 0.250, 0.250)
Ga (0.250, 0.000, 0.679)
Ga (0.250, 0.500, 0.821)
Ga (0.357, 0.750, 0.250)
Ga (0.643, 0.250, 0.750)
Ga (0.750, 0.000, 0.321)
Ga (0.750, 0.500, 0.179)
Ga (0.857, 0.750, 0.750)
Br (0.003, 0.544, 0.314)
Br (0.003, 0.956, 0.186)
Br (0.164, 0.689, 0.952)
Br (0.164, 0.811, 0.548)
Br (0.336, 0.189, 0.548)
Br (0.336, 0.311, 0.952)
Br (0.497, 0.044, 0.186)
Br (0.497, 0.456, 0.314)
Br (0.503, 0.544, 0.686)
Br (0.503, 0.956, 0.814)
Br (0.664, 0.689, 0.048)
Br (0.664, 0.811, 0.452)
Br (0.836, 0.189, 0.452)
Br (0.836, 0.311, 0.048)
Br (0.997, 0.044, 0.814)
Br (0.997, 0.456, 0.686)